# Mg2TaSb

A relaxed Mg2TaSb crystal (PBE-GGA, Alexandria).

Values from the calculation:
ΔE_f (raw) = 0.189 eV per atom

Unit cell a=10.0131 b=10.0131 c=10.0131 alpha=18.38 beta=18.38 gamma=18.38
Closest atoms and distances in Å follow each position.
Fractional positions:
Ta: 0.7509 0.7509 0.7509  3 Sb 2.94, 3 Mg 3.00, 6 Ta 3.20
Mg: 0.2497 0.2497 0.2497  9 Mg 3.18-3.20, 3 Sb 3.18
Mg: 0.0041 0.0041 0.0041  3 Ta 3.00, 9 Mg 3.18-3.20
Sb: 0.4953 0.4953 0.4953  3 Ta 2.94, 3 Mg 3.18, 6 Sb 3.20


# GaNiBRu2

A relaxed GaNiBRu2 crystal (PBE-GGA, Alexandria).

Values from the calculation:
formation energy = -0.10 eV/atom

Unit cell a=4.0931 b=4.0931 c=3.7787 alpha=90.00 beta=90.00 gamma=90.00
Closest atoms and distances in Å follow each position.
Fractional positions:
Ru: 0.0000 0.5000 0.0000  2 B 2.05
Ru: 0.5000 0.0000 0.0000  2 B 2.05
B: 0.0000 0.0000 0.0000  2 Ni 1.89, 4 Ru 2.05
Ni: 0.0000 0.0000 0.5000  2 B 1.89
Ga: 0.5000 0.5000 0.5000  8 Ru 2.79, 4 Ni 2.89


# KReP

A relaxed KReP crystal (PBE-GGA, Alexandria).

Values from the calculation:
formation energy = 1.20 eV/atom

Unit cell a=4.9524 b=4.9524 c=2.6164 alpha=90.00 beta=90.00 gamma=120.00
Closest atoms and distances in Å follow each position.
Fractional positions:
P: 0.6667 0.3333 0.5000  2 P 2.62, 3 Re 2.86
Re: 0.3333 0.6667 0.5000  2 Re 2.62, 3 P 2.86
K: 0.0000 0.0000 0.9999  2 K 2.62


# PIr5

A relaxed PIr5 crystal (PBE-GGA, Alexandria).

Values from the calculation:
energy above the lowest structure with this stoichiometry = 0 meV per atom
formation energy = 0.07 eV/atom

Unit cell a=4.8094 b=4.8094 c=7.0948 alpha=73.10 beta=73.10 gamma=33.64
Closest atoms and distances in Å follow each position.
Fractional positions:
Ir: 0.3224 0.3224 0.3796  12 Ir 2.70-2.94
Ir: 0.9908 0.9908 0.5687  11 Ir 2.66-2.98
Ir: 0.6877 0.6877 0.7124  2 P 2.40, 1 Ir 2.66
Ir: 0.6284 0.6284 0.2214  2 P 2.38
Ir: 0.9483 0.9483 0.0023  2 P 2.37
P: 0.2557 0.2557 0.9489  6 Ir 2.37-2.40


# SmDyTm4

A relaxed SmDyTm4 crystal (PBE-GGA, Alexandria).

Values from the calculation:
energy above the lowest structure with this stoichiometry = 676 meV per atom
formation energy = 0.75 eV/atom

Unit cell a=5.3558 b=5.3575 c=7.7419 alpha=89.96 beta=89.97 gamma=90.00
Closest atoms and distances in Å follow each position.
Fractional positions:
Tm: 0.0014 0.4970 0.7522  2 Dy 3.28-3.29, 2 Sm 3.32
Tm: 0.0012 0.4975 0.2441  2 Dy 3.29, 2 Sm 3.32
Tm: 0.5012 0.9974 0.7523  2 Dy 3.28-3.29, 2 Sm 3.32
Tm: 0.5015 0.9972 0.2440  2 Dy 3.29, 2 Sm 3.32
Sm: 0.0013 0.9973 0.4983  8 Tm 3.32
Dy: 0.5013 0.4973 0.9980  8 Tm 3.28-3.29


# Y2RuO

A relaxed Y2RuO crystal (PBE-GGA, Alexandria).

Values from the calculation:
ΔE_f (raw) = -1.166 eV per atom

Unit cell a=3.2108 b=3.2108 c=6.7393 alpha=90.00 beta=90.00 gamma=90.00
Closest atoms and distances in Å follow each position.
Fractional positions:
Ru: 0.5000 0.5000 0.0000  8 Y 2.88, 4 Ru 3.21
Y: 0.0000 0.0000 0.2624  4 O 2.78, 4 Ru 2.88
Y: 0.0000 0.0000 0.7376  4 O 2.78, 4 Ru 2.88
O: 0.5000 0.5000 0.5000  8 Y 2.78


# RbPd3Ru

A relaxed RbPd3Ru crystal (PBE-GGA, Alexandria).

Values from the calculation:
energy above the lowest structure with this stoichiometry = 1325 meV per atom
formation energy = 2.12 eV/atom

Unit cell a=5.0198 b=5.0198 c=5.0198 alpha=90.00 beta=90.00 gamma=90.00
Closest atoms and distances in Å follow each position.
Fractional positions:
Pd: 0.5000 0.0000 0.0000  2 Rb 2.51
Pd: 0.0000 0.5000 0.0000  2 Rb 2.51
Pd: 0.0000 0.0000 0.5000  2 Rb 2.51
Ru: 0.5000 0.5000 0.5000  12 Pd 3.55
Rb: 0.0000 0.0000 0.0000  6 Pd 2.51


# Y2Ge3Pd9

A relaxed Y2Ge3Pd9 crystal (PBE-GGA, Alexandria).

Values from the calculation:
formation energy = -0.74 eV/atom

Unit cell a=7.7771 b=7.7770 c=10.1164 alpha=89.83 beta=112.81 gamma=119.98
Closest atoms and distances in Å follow each position.
Fractional positions:
Y: 0.3355 0.2442 0.7502  11 Pd 2.96-3.24
Y: 0.0060 0.4146 0.2502  11 Pd 2.96-3.24
Y: 0.9940 0.5854 0.7498  11 Pd 2.96-3.24
Y: 0.6645 0.7558 0.2498  11 Pd 2.96-3.24
Pd: 0.7890 0.4832 0.4203  3 Ge 2.53-2.72, 2 Pd 2.82-2.83
Pd: 0.1401 0.9857 0.9470  3 Ge 2.58-2.78, 4 Pd 2.87-2.89
Pd: 0.4613 0.8069 0.4470  3 Ge 2.58-2.78, 4 Pd 2.87-2.89
Pd: 0.6743 0.7100 0.7528  2 Ge 2.47-2.48
Pd: 0.2110 0.5168 0.5797  3 Ge 2.53-2.72, 2 Pd 2.82-2.83
Pd: 0.5427 0.0784 0.2528  2 Ge 2.47-2.48
Pd: 0.4371 0.6313 0.9203  3 Ge 2.53-2.72, 2 Pd 2.82-2.83
Pd: 0.7845 0.3157 0.9234  3 Ge 2.55-2.72, 2 Pd 2.79-2.80
Pd: 0.1178 0.8678 0.2500  2 Ge 2.48
Pd: 0.5387 0.1931 0.5530  3 Ge 2.58-2.78, 4 Pd 2.87-2.89
Pd: 0.2155 0.6843 0.0766  3 Ge 2.55-2.72, 2 Pd 2.79-2.80
Pd: 0.8599 0.0143 0.0530  3 Ge 2.58-2.78, 4 Pd 2.87-2.89
Pd: 0.1077 0.1389 0.4234  3 Ge 2.55-2.72, 2 Pd 2.79-2.80
Pd: 0.3257 0.2900 0.2472  2 Ge 2.47-2.48
Pd: 0.8923 0.8611 0.5766  3 Ge 2.55-2.72, 2 Pd 2.79-2.80
Pd: 0.8822 0.1322 0.7500  2 Ge 2.48
Pd: 0.5629 0.3687 0.0797  3 Ge 2.53-2.72, 2 Pd 2.82-2.83
Pd: 0.4573 0.9216 0.7472  2 Ge 2.47-2.48
Ge: 0.1509 0.8241 0.4996  7 Pd 2.47-2.73
Ge: 0.1755 0.3487 0.9996  7 Pd 2.47-2.73
Ge: 0.8491 0.1759 0.5004  7 Pd 2.47-2.73
Ge: 0.5000 0.5000 0.5000  8 Pd 2.48-2.72
Ge: 0.8245 0.6513 0.0004  7 Pd 2.47-2.73
Ge: 0.5000 0.0000 0.0000  8 Pd 2.48-2.72


# CrCoH2

A relaxed CrCoH2 crystal (PBE-GGA, Alexandria).

Values from the calculation:
energy above the lowest structure with this stoichiometry = 583 meV per atom

Unit cell a=3.3988 b=3.3988 c=3.3988 alpha=60.00 beta=60.00 gamma=60.00
Closest atoms and distances in Å follow each position.
Fractional positions:
Cr: 0.0000 0.0000 0.0000  8 H 2.08
H: 0.2500 0.2500 0.2500  4 Cr 2.08, 4 Co 2.08
H: 0.7500 0.7500 0.7500  4 Cr 2.08, 4 Co 2.08
Co: 0.5000 0.5000 0.5000  8 H 2.08


# La2MgNi9

A relaxed La2MgNi9 crystal (PBE-GGA, Alexandria).

Values from the calculation:
energy above the lowest structure with this stoichiometry = 81 meV per atom
formation energy = -0.22 eV/atom

Unit cell a=4.9583 b=4.9583 c=8.7812 alpha=73.60 beta=73.60 gamma=60.00
Closest atoms and distances in Å follow each position.
Fractional positions:
Ni: 0.0792 0.5782 0.7643  7 Ni 2.41-2.62
Ni: 0.4218 0.4218 0.2357  7 Ni 2.41-2.62
Ni: 0.3326 0.3326 0.0022  6 Ni 2.41-2.44
Ni: 0.5782 0.5782 0.7643  7 Ni 2.41-2.62
Ni: 0.6674 0.6674 0.9978  6 Ni 2.41-2.44
Ni: 0.5782 0.0792 0.7643  7 Ni 2.41-2.62
Ni: 0.9208 0.4218 0.2357  7 Ni 2.41-2.62
Ni: 0.4218 0.9208 0.2357  7 Ni 2.41-2.62
Ni: 0.5000 0.5000 0.5000  6 Ni 2.62
La: 0.8651 0.8651 0.4047  9 Ni 2.85-2.97
La: 0.1349 0.1349 0.5953  9 Ni 2.85-2.97
Mg: 0.0000 0.0000 0.0000  18 Ni 2.86-3.16


# MgAsBr2Cl

A relaxed MgAsBr2Cl crystal (PBE-GGA, Alexandria).

Values from the calculation:
energy above the lowest structure with this stoichiometry = 0 meV per atom
ΔE_f (raw) = -0.104 eV per atom

Unit cell a=4.9659 b=4.9659 c=5.7674 alpha=90.00 beta=90.00 gamma=90.00
Closest atoms and distances in Å follow each position.
Fractional positions:
Mg: 0.0000 0.0000 0.0000  4 Br 2.48
Cl: 0.5000 0.5000 0.5000  4 As 3.51, 8 Br 3.81
Br: 0.5000 0.0000 0.0000  2 Mg 2.48
Br: 0.0000 0.5000 0.0000  2 Mg 2.48
As: 0.0000 0.0000 0.5000  2 Mg 2.88


# PmThAgHg

A relaxed PmThAgHg crystal (PBE-GGA, Alexandria).

Values from the calculation:
formation energy = -0.22 eV/atom

Unit cell a=5.3461 b=5.3461 c=5.3461 alpha=60.00 beta=60.00 gamma=60.00
Closest atoms and distances in Å follow each position.
Fractional positions:
Pm: 0.5000 0.5000 0.5000  4 Hg 3.27, 4 Ag 3.27
Ag: 0.2500 0.2500 0.2500  4 Th 3.27, 4 Pm 3.27
Hg: 0.7500 0.7500 0.7500  4 Th 3.27, 4 Pm 3.27
Th: 0.0000 0.0000 0.0000  4 Hg 3.27, 4 Ag 3.27